! LiNiB GGA-PBE optimized geometry; values from VASP
! - volume (Å³/cell) = 33
! - density (g cm⁻³) = 3.85
! - uncorrected energy (eV for the cell shown) = -14.59
&SYSTEM
  ibrav = 0, nat = 3, ntyp = 3
/
ATOMIC_SPECIES
Li 6.94 Li.upf
Ni 58.69 Ni.upf
B 10.81 B.upf
CELL_PARAMETERS angstrom
2.3907 0.0000 0.0000
0.0000 3.2095 0.0000
0.0000 0.0000 4.3021
ATOMIC_POSITIONS angstrom
Li 0.0000 0.0000 0.0000
Ni 0.0000 1.6048 2.1511
B 1.1954 0.0000 2.1511

***

! LiNiB GGA-PBE optimized geometry; values from VASP
! - volume (Å³/cell) = 58
! - density (g cm⁻³) = 4.38
! - uncorrected energy (eV for the cell shown) = -29.47
&SYSTEM
  ibrav = 0, nat = 6, ntyp = 3
/
ATOMIC_SPECIES
Li 6.94 Li.upf
Ni 58.69 Ni.upf
B 10.81 B.upf
CELL_PARAMETERS angstrom
3.6238 -1.4878 0.0000
3.6238 1.4878 0.0000
-2.7643 0.0000 5.3794
ATOMIC_POSITIONS angstrom
Li 1.0226 0.0000 0.4779
Li 3.4607 0.0000 4.9015
Ni 1.2269 0.0000 3.3453
Ni 3.2563 0.0000 2.0341
B -0.8856 0.0000 3.4174
B 5.3689 0.0000 1.9620

***

! LiNi8B2 GGA-PBE optimized geometry; values from VASP
! - volume (Å³/cell) = 111
! - density (g cm⁻³) = 7.45
! - uncorrected energy (eV for the cell shown) = -62.70
&SYSTEM
  ibrav = 0, nat = 11, ntyp = 3
/
ATOMIC_SPECIES
Li 6.94 Li.upf
Ni 58.69 Ni.upf
B 10.81 B.upf
CELL_PARAMETERS angstrom
3.1402 -4.6068 0.0000
3.1402 4.6068 0.0000
-1.0607 0.0000 3.8362
ATOMIC_POSITIONS angstrom
Li 0.0000 0.0000 0.0000
Ni 0.6464 1.1932 2.2665
Ni 3.1402 2.2879 0.0000
Ni 0.6464 -1.1932 2.2665
Ni 2.2641 0.0000 0.7767
Ni 2.9556 0.0000 3.0594
Ni 4.5733 1.1932 1.5697
Ni 3.1402 -2.2879 0.0000
Ni 4.5733 -1.1932 1.5697
B 2.6099 1.7316 1.9181
B 2.6099 -1.7316 1.9181

***

! LiNi2B2 GGA-PBE optimized geometry; values from VASP
! - volume (Å³/cell) = 47
! - polymorph energy (0 for the lowest one) (eV per atom) = 0.033
! - density (g cm⁻³) = 5.12
&SYSTEM
  ibrav = 0, nat = 5, ntyp = 3
/
ATOMIC_SPECIES
Li 6.94 Li.upf
Ni 58.69 Ni.upf
B 10.81 B.upf
CELL_PARAMETERS angstrom
1.4962 -5.9210 0.0000
1.4962 5.9210 0.0000
0.0000 0.0000 2.6742
ATOMIC_POSITIONS angstrom
Li 0.0000 0.0000 0.0000
Ni 1.4962 1.8431 1.3371
Ni 1.4962 -1.8431 1.3371
B 1.4962 3.4964 0.0000
B 1.4962 -3.4964 0.0000

***

| no. | M_tot (μB per formula unit) | density of states at the Fermi level (states/eV per cell) |
| --- | --- | --- |
| 1 | 0.0 | 1.28 |
| 2 | 0.0 | 2.68 |
| 3 | 0.0 | 15.38 |
| 4 | 0.0 | 1.99 |